a) This record from the Alexandria database describes an optimized crystal structure of HfAgSe2Br. The functional is PBE.

Space-group type ... P4/mmm (123)

Cell: 5.076 5.076 4.964 Å, 90.00 90.00 90.00°
Fractional coordinates of all 5 atoms:
Hf 0.000 0.000 0.000
Ag 0.500 0.500 0.500
Se 0.000 0.500 0.500
Se 0.500 0.000 0.500
Br 0.500 0.500 0.000

b) This record from the Alexandria database describes an optimized crystal structure of HfAgSe2Br. The functional is PBE.

Space-group type ... P4/mmm (123)

Cell: 5.191 5.191 5.274 Å, 90.00 90.00 90.00°
Fractional coordinates of all 5 atoms:
Hf 0.000 0.000 0.000
Ag 0.500 0.500 0.500
Se 0.000 0.500 0.000
Se 0.500 0.000 0.000
Br 0.000 0.000 0.500

Short version: a) is the least stable of them.